# TlVIBr2

An optimized crystal structure of TlVIBr2 (PBE-GGA, Alexandria).

Geometry as CIF:
```
data_TlVIBr2
_symmetry_space_group_name_H-M 'P 4/m m m'
_symmetry_Int_Tables_number 123
_symmetry_space_group_name_Hall '-P 4 2'
_cell_length_a 5.264
_cell_length_b 5.264
_cell_length_c 5.721
_cell_angle_alpha 90.00
_cell_angle_beta 90.00
_cell_angle_gamma 90.00
loop_
_atom_site_label
_atom_site_type_symbol
_atom_site_fract_x
_atom_site_fract_y
_atom_site_fract_z
Tl1 Tl 0.000 0.000 0.000
V1 V 0.500 0.500 0.500
I1 I 0.500 0.500 0.000
Br1 Br 0.000 0.500 0.500
```

**Uncorrected formation energy**: -603 meV per atom
**Crystal system**: tetragonal
**DFT total energy**: -3.879 eV per atom
**ΔE to the lowest computed polymorph**: 0 meV/atom
**Magnetization**: 3.00 μB/cell
**V**: 31.7 A^3/atom

***

# SiSn2N

An optimized crystal structure of SiSn2N (PBE-GGA, Alexandria).

Geometry as CIF:
```
data_SiSn2N
_symmetry_space_group_name_H-M 'I -4 2 d'
_symmetry_Int_Tables_number 122
_symmetry_space_group_name_Hall 'I -4 2bw'
_cell_length_a 5.535
_cell_length_b 5.535
_cell_length_c 11.469
_cell_angle_alpha 90.00
_cell_angle_beta 90.00
_cell_angle_gamma 90.00
loop_
_atom_site_label
_atom_site_type_symbol
_atom_site_fract_x
_atom_site_fract_y
_atom_site_fract_z
Si1 Si 0.000 0.000 0.000
Sn1 Sn 0.194 0.250 0.625
N1 N 0.000 0.000 0.500
```

**Uncorrected formation energy**: 405 meV per atom
**Crystal system**: tetragonal
**DFT total energy**: -5.034 eV per atom
**ΔE to the lowest computed polymorph**: 0 meV/atom
**Magnetization**: 0.00 μB/cell
**V**: 22.0 A^3/atom

***

# CaAl2AgAu5

An optimized crystal structure of CaAl2AgAu5 (PBE-GGA, Alexandria).

Geometry as CIF:
```
data_CaAl2AgAu5
_symmetry_space_group_name_H-M 'P 4/m m m'
_symmetry_Int_Tables_number 123
_symmetry_space_group_name_Hall '-P 4 2'
_cell_length_a 4.805
_cell_length_b 4.805
_cell_length_c 7.912
_cell_angle_alpha 90.00
_cell_angle_beta 90.00
_cell_angle_gamma 90.00
loop_
_atom_site_label
_atom_site_type_symbol
_atom_site_fract_x
_atom_site_fract_y
_atom_site_fract_z
Ca1 Ca 0.000 0.000 0.000
Al1 Al 0.500 0.500 0.341
Ag1 Ag 0.000 0.000 0.500
Au1 Au 0.000 0.500 0.241
Au2 Au 0.500 0.500 0.000
```

**Crystal system**: tetragonal
**DFT total energy**: -3.480 eV per atom
**Magnetization**: 0.00 μB/cell
**V**: 20.3 A^3/atom

***

# SnTe2F2

An optimized crystal structure of SnTe2F2 (PBE-GGA, Alexandria).

Geometry as CIF:
```
data_SnTe2F2
_symmetry_space_group_name_H-M 'I 4/m m m'
_symmetry_Int_Tables_number 139
_symmetry_space_group_name_Hall '-I 4 2'
_cell_length_a 3.929
_cell_length_b 3.929
_cell_length_c 13.193
_cell_angle_alpha 90.00
_cell_angle_beta 90.00
_cell_angle_gamma 90.00
loop_
_atom_site_label
_atom_site_type_symbol
_atom_site_fract_x
_atom_site_fract_y
_atom_site_fract_z
Sn1 Sn 0.000 0.000 0.000
Te1 Te 0.000 0.000 0.382
F1 F 0.000 0.500 0.250
```

**Uncorrected formation energy**: -710 meV per atom
**Crystal system**: tetragonal
**DFT total energy**: -3.515 eV per atom
**ΔE to the lowest computed polymorph**: 99 meV/atom
**Magnetization**: 0.00 μB/cell
**V**: 20.4 A^3/atom

***

# Tc2OsPb

An optimized crystal structure of Tc2OsPb (PBE-GGA, Alexandria).

Geometry as CIF:
```
data_Tc2OsPb
_symmetry_space_group_name_H-M 'I -4 2 d'
_symmetry_Int_Tables_number 122
_symmetry_space_group_name_Hall 'I -4 2bw'
_cell_length_a 6.278
_cell_length_b 6.278
_cell_length_c 9.849
_cell_angle_alpha 90.00
_cell_angle_beta 90.00
_cell_angle_gamma 90.00
loop_
_atom_site_label
_atom_site_type_symbol
_atom_site_fract_x
_atom_site_fract_y
_atom_site_fract_z
Tc1 Tc 0.204 0.250 0.125
Os1 Os 0.000 0.000 0.000
Pb1 Pb 0.000 0.000 0.500
```

**Crystal system**: tetragonal
**DFT total energy**: -7.553 eV per atom
**Magnetization**: 0.00 μB/cell
**V**: 24.3 A^3/atom

***

# Sr2ScAs2

An optimized crystal structure of Sr2ScAs2 (PBE-GGA, Alexandria).

Geometry as CIF:
```
data_Sr2ScAs2
_symmetry_space_group_name_H-M 'P 4/m b m'
_symmetry_Int_Tables_number 127
_symmetry_space_group_name_Hall '-P 4 2ab'
_cell_length_a 7.858
_cell_length_b 7.858
_cell_length_c 4.424
_cell_angle_alpha 90.00
_cell_angle_beta 90.00
_cell_angle_gamma 90.00
loop_
_atom_site_label
_atom_site_type_symbol
_atom_site_fract_x
_atom_site_fract_y
_atom_site_fract_z
Sr1 Sr 0.145 0.355 0.000
Sc1 Sc 0.000 0.000 0.500
As1 As 0.169 0.669 0.500
```

**Crystal system**: tetragonal
**DFT total energy**: -4.759 eV per atom
**ΔE to the lowest computed polymorph**: 106 meV/atom
**Magnetization**: 1.95 μB/cell
**V**: 27.3 A^3/atom